A:
The following is a DFT calculation (PBE) of Ta8Nb2Os after structural relaxation.

Structure (extended XYZ):
```
11
Lattice="-2.6514 3.4903 -1.5763 1.7225 -0.9873 -5.0834 -4.5328 -6.6357 -0.1865" Properties=species:S:1:pos:R:3 pbc="T T T"
Ta -3.8475 -4.5643 -3.6348
Ta -1.8531 -0.8995 -5.7570
Ta -3.9154 -1.3109 -3.1991
Ta 0.7609 -1.1485 -3.8228
Ta -1.5464 -2.8218 -3.6471
Ta -3.6086 -3.2332 -1.0893
Ta -1.6142 0.4316 -3.2114
Ta -6.2226 -2.9842 -3.0234
Nb -4.1661 -2.6086 -5.6507
Nb -1.2957 -1.5242 -1.1956
Os -1.3257 1.7452 -0.7882
```

Summary:
Its volume is 195.57 Å³ per cell. The density of states at the Fermi level comes out at 13.10 states/eV/cell. As for the symmetry: C2/m, No. 12. The calculation puts the theoretical density at 15.5 g/cm³.


B:
The following is a DFT calculation (PBE) of Ta8Nb2Os after structural relaxation.

Structure (extended XYZ):
```
11
Lattice="5.3272 0.2162 0.1510 1.0394 7.3950 1.9020 1.0394 4.3307 6.2888" Properties=species:S:1:pos:R:3 pbc="T T T"
Ta 1.0896 3.2193 3.8739
Ta 1.0896 4.7451 1.6895
Ta 6.3162 8.7226 4.4679
Ta 2.3978 5.9188 4.1344
Ta 6.3162 7.1968 6.6522
Ta 2.6425 1.2782 0.8929
Ta 4.7634 10.6637 7.4489
Ta 5.0081 6.0231 4.2073
Nb 3.6583 3.7154 2.5953
Nb 3.7475 8.2265 5.7464
Os 0.0000 0.0000 0.0000
```

Summary:
Its volume is 202.40 Å³ per cell. The density of states at the Fermi level comes out at 9.90 states/eV/cell. As for the symmetry: C2/m, No. 12. The calculation puts the theoretical density at 15.0 g/cm³.


The most stable arrangement is A, and the next structure is 0.184 eV/atom less stable.


A:
The following is a DFT calculation (PBE) of Ta2Nb2Os after structural relaxation.

Structure (extended XYZ):
```
5
Lattice="3.1263 0.0001 0.8185 1.4501 5.1667 0.8403 0.2603 -0.3426 5.3857" Properties=species:S:1:pos:R:3 pbc="T T T"
Ta 2.3148 0.8136 3.9180
Ta 2.5219 4.0105 3.1265
Nb 3.5732 2.8524 5.4910
Nb 1.2635 1.9718 1.5535
Os 1.4502 5.1667 0.8404
```

Summary:
Its volume is 86.38 Å³ per cell. The density of states at the Fermi level comes out at 3.41 states/eV/cell. As for the symmetry: C2/m, No. 12. The calculation puts the theoretical density at 14.2 g/cm³.


B:
The following is a DFT calculation (PBE) of Ta2Nb2Os after structural relaxation.

Structure (extended XYZ):
```
5
Lattice="-0.2649 -2.1125 2.9163 3.2626 -1.3784 -0.7022 4.6100 3.5281 5.2097" Properties=species:S:1:pos:R:3 pbc="T T T"
Nb 2.0424 -0.8242 1.8238
Nb 5.5653 0.8613 5.6000
Os 0.0000 0.0000 0.0000
Ta 2.9220 -0.1650 4.6165
Ta 4.6857 0.2021 2.8073
```

Summary:
Its volume is 96.09 Å³ per cell. The density of states at the Fermi level comes out at 5.11 states/eV/cell. As for the symmetry: I4/mmm, No. 139. The calculation puts the theoretical density at 12.8 g/cm³.


The most stable arrangement is A, and the next structure is 1.155 eV/atom less stable.


A:
The following is a DFT calculation (PBE) of Ta2Nb2Os after structural relaxation.

Structure (extended XYZ):
```
10
Lattice="-6.2679 -1.8752 0.8574 2.0143 -6.1548 1.2648 0.2879 0.9567 4.1969" Properties=species:S:1:pos:R:3 pbc="T T T"
Nb -0.4927 -5.9088 1.3807
Nb -4.0400 -5.5833 1.5498
Nb -3.7609 -2.1211 0.7415
Nb -0.2136 -2.4466 0.5724
Os 0.0000 0.0000 0.0000
Os -2.1268 -4.0150 1.0611
Ta 0.4293 -3.9616 3.0910
Ta -2.3811 -5.8878 3.7228
Ta -4.3951 -3.1116 3.2281
Ta -1.5847 -1.1854 2.5963
```

Summary:
Its volume is 187.83 Å³ per cell. The density of states at the Fermi level comes out at 7.74 states/eV/cell. As for the symmetry: P4/mbm, No. 127. The calculation puts the theoretical density at 13.0 g/cm³.


B:
The following is a DFT calculation (PBE) of Ta2Nb2Os after structural relaxation.

Structure (extended XYZ):
```
10
Lattice="-0.7429 -3.4425 -2.8064 -1.5529 -2.4645 3.4342 -7.6919 6.2129 -1.9722" Properties=species:S:1:pos:R:3 pbc="T T T"
Ta -6.9191 -0.8255 -0.7688
Ta -1.7227 -1.2230 -1.6567
Ta -7.8600 1.0399 -2.8080
Ta -3.0686 1.1315 -0.5757
Nb -8.1806 1.4978 0.3281
Nb -4.1321 -1.8532 -0.2459
Nb -5.8556 2.1591 -1.0985
Nb -2.2122 -0.7029 1.4478
Os -1.1479 -2.9535 0.3139
Os -5.1964 0.3975 0.8879
```

Summary:
Its volume is 194.00 Å³ per cell. The density of states at the Fermi level comes out at 8.10 states/eV/cell. As for the symmetry: I4_1/amd, No. 141. The calculation puts the theoretical density at 12.6 g/cm³.


The most stable arrangement is B, and the next structure is 0.225 eV/atom less stable.


A:
The following is a DFT calculation (PBE) of TaNb4Os after structural relaxation.

Structure (extended XYZ):
```
12
Lattice="4.5773 0.0000 0.0000 0.0000 6.3514 0.0000 0.0000 0.0000 7.4704" Properties=species:S:1:pos:R:3 pbc="T T T"
Ta 0.0000 4.7635 2.7622
Ta 0.0000 1.5878 4.7083
Nb 0.0000 6.3514 0.0001
Nb 2.2886 3.2769 5.0721
Nb 2.2886 4.7635 0.1388
Nb 0.0000 3.1757 0.0001
Nb 2.2886 1.5878 7.3318
Nb 2.2886 6.2502 5.0721
Nb 2.2886 0.1012 2.3984
Nb 2.2886 3.0745 2.3984
Os 0.0000 4.7635 5.3752
Os 0.0000 1.5878 2.0953
```

Summary:
Its volume is 217.18 Å³ per cell. The density of states at the Fermi level comes out at 9.46 states/eV/cell. As for the symmetry: Pmma, No. 51. The calculation puts the theoretical density at 11.4 g/cm³.


B:
The following is a DFT calculation (PBE) of TaNb4Os after structural relaxation.

Structure (extended XYZ):
```
12
Lattice="4.7225 0.0000 0.0000 0.0000 5.3988 0.0000 -2.3612 0.0000 9.2248" Properties=species:S:1:pos:R:3 pbc="T T T"
Ta 2.3612 4.0159 6.7671
Ta 0.0000 1.3165 2.4577
Nb 2.3612 1.2753 6.8701
Nb 0.0000 3.9747 2.3548
Nb 0.0000 5.0130 8.1648
Nb 2.3612 2.3136 1.0600
Nb 2.3612 2.9547 3.8530
Nb 0.0000 0.2552 5.3718
Nb 2.3612 0.2971 3.9714
Nb 0.0000 2.9965 5.2534
Os 2.3612 4.9803 1.5071
Os 0.0000 2.2809 7.7177
```

Summary:
Its volume is 235.19 Å³ per cell. The density of states at the Fermi level comes out at 13.54 states/eV/cell. As for the symmetry: Cmc2_1, No. 36. The calculation puts the theoretical density at 10.5 g/cm³.


The most stable arrangement is A, and the next structure is 0.256 eV/atom less stable.


A:
The following is a DFT calculation (PBE) of Ta4Nb3Os after structural relaxation.

Structure (extended XYZ):
```
16
Lattice="-2.5402 -4.4822 1.6875 3.9291 -3.1383 -2.4214 5.0488 0.1499 7.9983" Properties=species:S:1:pos:R:3 pbc="T T T"
Ta 2.3132 -3.9684 -1.3858
Ta 0.3440 -2.3877 -0.1724
Ta 2.8459 -1.5700 1.0183
Ta 2.0737 -4.2000 1.5784
Ta 3.1907 -5.8258 3.6891
Ta 1.2155 -4.2559 4.9065
Ta 4.5875 -4.1254 5.5609
Ta 5.3808 -1.4947 5.0342
Nb 0.6780 -5.8875 -0.3176
Nb 4.7907 -3.1786 -0.1798
Nb 0.0860 -2.6671 2.8051
Nb 2.8744 -2.2949 3.8226
Nb 2.5992 -2.5925 6.7865
Nb 7.3262 -3.1033 3.8370
Os -1.2464 -4.3398 0.8681
Os 4.8070 -3.8280 2.6314
```

Summary:
Its volume is 286.22 Å³ per cell. The density of states at the Fermi level comes out at 10.18 states/eV/cell. As for the symmetry: Pmn2_1, No. 31. The calculation puts the theoretical density at 13.8 g/cm³.


B:
The following is a DFT calculation (PBE) of Ta4Nb3Os after structural relaxation.

Structure (extended XYZ):
```
8
Lattice="3.2607 0.0000 0.0000 0.0000 3.2607 0.0000 0.0000 0.0000 13.2551" Properties=species:S:1:pos:R:3 pbc="T T T"
Nb 1.6303 1.6303 3.2683
Nb 1.6303 1.6303 6.6276
Nb 1.6303 1.6303 9.9869
Os 1.6303 1.6303 0.0000
Ta 0.0000 0.0000 11.6695
Ta 0.0000 0.0000 1.5856
Ta 0.0000 0.0000 4.9242
Ta 0.0000 0.0000 8.3309
```

Summary:
Its volume is 140.93 Å³ per cell. The density of states at the Fermi level comes out at 6.91 states/eV/cell. As for the symmetry: P4/mmm, No. 123. The calculation puts the theoretical density at 14.1 g/cm³.


The most stable arrangement is B, and the next structure is 0.167 eV/atom less stable.


A:
The following is a DFT calculation (PBE) of TaTiNbOs after structural relaxation.

Structure (extended XYZ):
```
4
Lattice="4.5281 0.0000 0.0000 2.2640 3.9214 0.0000 2.2640 1.3071 3.6972" Properties=species:S:1:pos:R:3 pbc="T T T"
Nb 2.2640 1.3071 0.9243
Ti 0.0000 0.0000 0.0000
Os 6.7921 3.9214 2.7729
Ta 4.5281 2.6143 1.8486
```

Summary:
Its volume is 65.65 Å³ per cell. The density of states at the Fermi level comes out at 4.79 states/eV/cell. As for the symmetry: F-43m, No. 216. The calculation puts the theoretical density at 12.9 g/cm³.


B:
The following is a DFT calculation (PBE) of TaTiNbOs after structural relaxation.

Structure (extended XYZ):
```
4
Lattice="-0.2883 -2.7927 -1.4805 0.6416 -1.5074 2.7185 -6.4234 -0.1086 1.4557" Properties=species:S:1:pos:R:3 pbc="T T T"
Ta -3.6413 -2.2146 1.4843
Ti -0.5732 -2.1627 0.7889
Nb -5.5393 -0.0937 1.2554
Os -2.2771 -0.0385 0.5161
```

Summary:
Its volume is 66.36 Å³ per cell. The density of states at the Fermi level comes out at 3.60 states/eV/cell. As for the symmetry: P4mm, No. 99. The calculation puts the theoretical density at 12.8 g/cm³.


The most stable arrangement is A, and the next structure is 0.022 eV/atom less stable.